Entry 1:
## Ta2FeOs2 (PBE-GGA)

Data for a relaxed structure of Ta2FeOs2.

## Properties
The value obtained for the energy above the most stable polymorph in this dataset is 164.7 meV per atom. Its formation energy is 0.451 eV/atom. The value obtained for the total magnetic moment is 3.4 μB per formula unit. The calculation puts the electronic total energy at -10.474 eV/atom.

a b c (Å): 6.158 6.158 6.158
angles (deg): 139.66 139.66 58.36
Last column: magnetic moment on the atom in μB.
Sites, in units of the cell vectors:
Ta 0.250 0.750 0.500  -0.04
Ta 0.750 0.250 0.500  -0.04
Fe 0.000 0.000 0.000  3.28
Os 0.615 0.615 0.000  0.10
Os 0.385 0.385 0.000  0.10


Entry 2:
## TaFeOs (PBE-GGA)

Data for a relaxed structure of TaFeOs.

## Properties
Its formation energy is -0.176 eV/atom. The value obtained for the total magnetic moment is 1.3 μB per formula unit. The calculation puts the electronic total energy at -10.691 eV/atom.

a b c (Å): 4.988 4.988 4.988
angles (deg): 90.18 118.04 121.78
Last column: magnetic moment on the atom in μB.
Sites, in units of the cell vectors:
Ta 0.250 0.120 0.870  -0.14
Ta 0.750 0.880 0.130  -0.14
Fe 0.000 0.500 0.500  1.55
Fe 0.500 0.000 0.500  1.55
Os 0.500 0.500 0.500  -0.01
Os 0.000 0.500 0.000  -0.01


Entry 3:
## TaFeOs (PBE-GGA)

Data for a relaxed structure of TaFeOs.

## Properties
Its formation energy is 0.376 eV/atom. The value obtained for the total magnetic moment is 0.6 μB per formula unit. The calculation puts the electronic total energy at -10.139 eV/atom.

a b c (Å): 4.088 4.088 4.088
angles (deg): 60.00 60.00 60.00
Last column: magnetic moment on the atom in μB.
Sites, in units of the cell vectors:
Fe 0.750 0.750 0.750  0.66
Os 0.000 0.000 0.000  0.10
Ta 0.500 0.500 0.500  -0.10


Entry 4:
## TaFe2Os (PBE-GGA)

Data for a relaxed structure of TaFe2Os.

## Properties
Its formation energy is -0.043 eV/atom. The value obtained for the total magnetic moment is 5.1 μB per formula unit. The calculation puts the electronic total energy at -10.045 eV/atom.

a b c (Å): 5.019 5.019 4.221
angles (deg): 65.13 65.13 36.57
Last column: magnetic moment on the atom in μB.
Sites, in units of the cell vectors:
Fe 0.002 0.002 0.998  2.50
Fe 0.498 0.498 0.502  2.50
Os 0.750 0.750 0.750  0.40
Ta 0.250 0.250 0.250  -0.26


Entry 5:
## Ta2FeOs (PBE-GGA)

Data for a relaxed structure of Ta2FeOs.

## Properties
The value obtained for the energy above the most stable polymorph in this dataset is 197.0 meV per atom. Its formation energy is -0.066 eV/atom. The value obtained for the total magnetic moment is 2.1 μB per formula unit. The calculation puts the electronic total energy at -10.915 eV/atom.

a b c (Å): 5.089 5.089 4.467
angles (deg): 64.03 64.03 37.24
Last column: magnetic moment on the atom in μB.
Sites, in units of the cell vectors:
Fe 0.250 0.250 0.250  2.06
Os 0.750 0.750 0.750  0.23
Ta 0.999 0.999 0.001  -0.07
Ta 0.501 0.501 0.499  -0.07


Entry 6:
## TaFeOs4 (PBE-GGA)

Data for a relaxed structure of TaFeOs4.

## Properties
The value obtained for the energy above the most stable polymorph in this dataset is 407.8 meV per atom. Its formation energy is 0.330 eV/atom. The value obtained for the total magnetic moment is 3.6 μB per formula unit. The calculation puts the electronic total energy at -10.542 eV/atom.

a b c (Å): 5.119 5.119 5.119
angles (deg): 60.00 60.00 60.00
Last column: magnetic moment on the atom in μB.
Sites, in units of the cell vectors:
Ta 0.750 0.750 0.750  -0.13
Fe 0.000 0.000 0.000  2.98
Os 0.876 0.375 0.375  0.21
Os 0.375 0.375 0.876  0.21
Os 0.375 0.876 0.375  0.21
Os 0.375 0.375 0.375  0.21


- Number 6 is which compound?
  TaFeOs4